Crystalline Cr3CoBi at its relaxed geometry. Source: the Alexandria database, functional PBE.

energy above the lowest structure with this stoichiometry = 0.00 kJ per mole of atoms
density = 7.86 g cm⁻³
formation energy from the elements = 90 kJ per mole of atoms

Cell: 4.473 4.473 4.473 Å, 90.00 90.00 90.00°
Sites, in units of the cell vectors:
1 Cr 0.000 0.500 0.000
2 Cr 0.000 0.000 0.500
3 Cr 0.500 0.000 0.000
4 Co 0.000 0.000 0.000
5 Bi 0.500 0.500 0.500